A plane-wave DFT calculation with GGA-PBEsol was carried out for crystalline Ca2LaAs at its relaxed geometry.

Geometry as POSCAR:
```
Ca2LaAs
1.0
4.618 0.000 0.000
0.000 4.618 0.000
-2.309 -2.309 5.250
As Ca La
1 2 1
Direct
0.250 0.750 0.500
0.000 0.000 0.000
0.750 0.250 0.500
0.500 0.500 0.000
```

## Properties
Energy of formation   -372 meV per atom
Calculated total energy   -0.29781 Ry per atom